Computed, not measured: a PBEsol-optimized structure of FeSiSe2 at the SCAN level of DFT.

It has space group Pmmm (No. 47), with a = 3.0779 Å, b = 4.4964 Å, c = 4.5932 Å, α = 90.00°, β = 90.00° and γ = 90.00°. Symmetry generates all atoms from Fe at (0.0000, 0.0000, 0.0000), Si at (0.0000, 0.5000, 0.5000), Se at (0.5000, 0.0000, 0.5000) and Se at (0.5000, 0.5000, 0.0000).

The value obtained for the calculated total energy is -66.3 eV for the cell shown. For the formation energy (no corrections), the calculation gives 501 meV/atom.

---

Computed, not measured: a PBEsol-optimized structure of NbCd3Ir at the SCAN level of DFT.

It has space group Pm-3m (No. 221), with a = 5.1173 Å, b = 5.1173 Å, c = 5.1173 Å, α = 90.00°, β = 90.00° and γ = 90.00°. Symmetry generates all atoms from Nb at (0.0000, 0.0000, 0.0000), Cd at (0.0000, 0.0000, 0.5000) and Ir at (0.5000, 0.5000, 0.5000).

The value obtained for the calculated total energy is -185.3 eV for the cell shown. Its formation energy is 2037 meV per atom.

---

Computed, not measured: a PBEsol-optimized structure of Al3As at the SCAN level of DFT.

It has space group Pm-3m (No. 221), with a = 4.0902 Å, b = 4.0902 Å, c = 4.0902 Å, α = 90.00°, β = 90.00° and γ = 90.00°. Symmetry generates all atoms from Al at (0.0000, 0.0000, 0.5000) and As at (0.5000, 0.5000, 0.5000).

The value obtained for the calculated total energy is -43.1 eV for the cell shown. The energy above the lowest structure with this stoichiometry comes out at 12 meV/atom. Its formation energy is 89 meV per atom.